The following is a DFT calculation (PBE-GGA) of an optimized crystal structure of Ac6Ir2RhCl3.

Cell lengths 10.370, 10.370, 9.426 Å; angles 109.41, 109.41, 24.12 degrees
Fractional positions:
1 Ac 0.011 0.011 0.224
2 Ac 0.323 0.323 0.444
3 Ac 0.344 0.344 0.889
4 Ac 0.656 0.656 0.111
5 Ac 0.677 0.677 0.556
6 Ac 0.989 0.989 0.776
7 Ir 0.166 0.166 0.332
8 Ir 0.834 0.834 0.668
9 Rh 0.500 0.500 0.000
10 Cl 0.166 0.166 0.833
11 Cl 0.500 0.500 0.500
12 Cl 0.834 0.834 0.167

size of the total moment: 0.000 μB/atom
energy relative to the elements, uncorrected: -1282 meV/atom
calculated total energy: -5.888 eV per atom